# 1
Below is crystalline PrGa5Ru2 at its relaxed geometry, with properties calculated at the PBE-GGA level.

The value obtained for the size of the total moment is 0.0 μB/f.u. The total energy comes out at -0.38370 Ry per atom. The calculation puts the density of states at the Fermi level at 6.4 states/eV per cell. For the energy of formation from the pure elements, the calculation gives -0.41 eV/atom.

It has space group Immm (No. 71), with a = 4.035 Å, b = 7.043 Å, c = 10.423 Å, α = 90.00°, β = 90.00° and γ = 90.00°. The asymmetric unit holds Pr at (0.000, 0.000, 0.000), Ga at (0.000, 0.197, 0.352), Ga at (0.000, 0.500, 0.000) and Ru at (0.000, 0.500, 0.232).

***

# 2
Below is crystalline HfAl2SiO at its relaxed geometry, with properties calculated at the PBE-GGA level.

The value obtained for the size of the total moment is 0.0 μB/f.u. The total energy comes out at -0.35798 Ry per atom. Its formation energy from raw total energies is 0.693 eV per atom. The calculation puts the density of states at the Fermi level at 2.7 states/eV per cell.

It has space group P4/mmm (No. 123), with a = 4.543 Å, b = 4.543 Å, c = 4.955 Å, α = 90.00°, β = 90.00° and γ = 90.00°. The asymmetric unit holds Hf at (0.000, 0.000, 0.000), Al at (0.000, 0.500, 0.500), Si at (0.000, 0.000, 0.500) and O at (0.500, 0.500, 0.000).

***

# 3
Below is crystalline Na2NdInCl6 at its relaxed geometry, with properties calculated at the PBE-GGA level.

The value obtained for the size of the total moment is 0.0 μB/f.u. The total energy comes out at -0.28789 Ry per atom. Its formation energy from raw total energies is -1.794 eV per atom. The calculation puts the density of states at the Fermi level at 0.0 states/eV per cell.

It has space group R3 (No. 146, hexagonal axes), with a = 7.3053 Å, b = 7.3053 Å, c = 19.7941 Å, α = 90.00°, β = 90.00° and γ = 120.00°. The asymmetric unit holds Na at (0.0000, 0.0000, 0.0000), Na at (0.0000, 0.0000, 0.4882), Nd at (0.0000, 0.0000, 0.6865), In at (0.0000, 0.0000, 0.2039), Cl at (0.0118, 0.3368, 0.7528) and Cl at (0.0266, 0.6181, 0.2608).

***

# 4
Below is crystalline TbMgBi at its relaxed geometry, with properties calculated at the PBE-GGA level.

The value obtained for the size of the total moment is 0.0 μB/f.u. For the energy above the most stable polymorph in this dataset, the calculation gives 0.44 eV per formula unit. The total energy comes out at -0.27224 Ry per atom. The calculation puts the density of states at the Fermi level at 0.4 states/eV per cell. For the energy of formation from the pure elements, the calculation gives -0.34 eV/atom.

It has space group P3m1 (No. 156), with a = 4.8569 Å, b = 4.8569 Å, c = 4.0458 Å, α = 90.00°, β = 90.00° and γ = 120.00°. The asymmetric unit holds Tb at (0.0000, 0.0000, 0.0000), Mg at (0.3333, 0.6667, 0.5172) and Bi at (0.6667, 0.3333, 0.4887).

***

# 5
Below is crystalline NdTlSn2Se4 at its relaxed geometry, with properties calculated at the PBE-GGA level.

The value obtained for the size of the total moment is 0.0 μB/f.u. The total energy comes out at -0.32858 Ry per atom. Its formation energy from raw total energies is -0.836 eV per atom.

It has space group P2/m (No. 10), with a = 7.513 Å, b = 4.330 Å, c = 7.573 Å, α = 90.00°, β = 108.52° and γ = 90.00°. The asymmetric unit holds Nd at (0.000, 0.000, 0.000), Tl at (0.000, 0.500, 0.500), Sn at (0.500, 0.000, 0.500), Sn at (0.500, 0.500, 0.000), Se at (0.249, 0.500, 0.233) and Se at (0.260, 0.000, 0.773).

***

# 6
Below is crystalline Pr6HgRh at its relaxed geometry, with properties calculated at the PBE-GGA level.

The value obtained for the size of the total moment is 0.0 μB/f.u. The total energy comes out at -0.34139 Ry per atom. The calculation puts the density of states at the Fermi level at 13.0 states/eV per cell. For the energy of formation from the pure elements, the calculation gives -0.10 eV/atom.

It has space group P-1 (No. 2), with a = 7.050 Å, b = 7.088 Å, c = 7.793 Å, α = 90.32°, β = 116.44° and γ = 119.75°. The asymmetric unit holds Pr at (0.034, 0.080, 0.253), Pr at (0.297, 0.717, 0.251), Pr at (0.324, 0.544, 0.749), Hg at (0.500, 0.000, 0.000) and Rh at (0.500, 0.500, 0.500).

***

# 7
Below is crystalline Y4Pb at its relaxed geometry, with properties calculated at the PBE-GGA level.

The value obtained for the size of the total moment is 1.9 μB/f.u. The total energy comes out at -0.41042 Ry per atom. The calculation puts the density of states at the Fermi level at 9.9 states/eV per cell. For the energy of formation from the pure elements, the calculation gives 0.33 eV/atom.

It has space group Pm-3m (No. 221), with a = 5.799 Å, b = 5.799 Å, c = 5.799 Å, α = 90.00°, β = 90.00° and γ = 90.00°. The asymmetric unit holds Y at (0.000, 0.000, 0.000), Y at (0.000, 0.500, 0.500) and Pb at (0.500, 0.500, 0.500).

***

# 8
Below is crystalline Ta3GaRe at its relaxed geometry, with properties calculated at the PBE-GGA level.

The value obtained for the size of the total moment is 0.4 μB/f.u. For the energy above the most stable polymorph in this dataset, the calculation gives 1.41 eV per formula unit. The total energy comes out at -0.63896 Ry per atom. The calculation puts the density of states at the Fermi level at 9.4 states/eV per cell. For the energy of formation from the pure elements, the calculation gives 1.51 eV/atom.

It has space group Pm-3m (No. 221), with a = 4.638 Å, b = 4.638 Å, c = 4.638 Å, α = 90.00°, β = 90.00° and γ = 90.00°. The asymmetric unit holds Ta at (0.000, 0.000, 0.500), Ga at (0.000, 0.000, 0.000) and Re at (0.500, 0.500, 0.500).

***

# 9
Below is crystalline Re3Ir at its relaxed geometry, with properties calculated at the PBE-GGA level.

The value obtained for the size of the total moment is 0.0 μB/f.u. The total energy comes out at -0.85697 Ry per atom. The calculation puts the density of states at the Fermi level at 3.4 states/eV per cell. For the energy of formation from the pure elements, the calculation gives -0.11 eV/atom.

It has space group P-6m2 (No. 187), with a = 2.7706 Å, b = 2.7706 Å, c = 8.9041 Å, α = 90.00°, β = 90.00° and γ = 120.00°. The asymmetric unit holds Re at (0.0000, 0.0000, 0.0000), Re at (0.3333, 0.6667, 0.2508) and Ir at (0.0000, 0.0000, 0.5000).

***

# 10
Below is crystalline TbSm2Ho at its relaxed geometry, with properties calculated at the PBE-GGA level.

The value obtained for the size of the total moment is 0.0 μB/f.u. For the energy above the most stable polymorph in this dataset, the calculation gives 0.02 eV per formula unit. The total energy comes out at -0.34135 Ry per atom. The calculation puts the density of states at the Fermi level at 5.1 states/eV per cell. For the energy of formation from the pure elements, the calculation gives 0.02 eV/atom.

It has space group P4/mmm (No. 123), with a = 3.584 Å, b = 3.584 Å, c = 10.137 Å, α = 90.00°, β = 90.00° and γ = 90.00°. The asymmetric unit holds Tb at (0.000, 0.000, 0.000), Sm at (0.500, 0.500, 0.251) and Ho at (0.000, 0.000, 0.500).

***

# 11
Below is crystalline PuThBe4 at its relaxed geometry, with properties calculated at the PBE-GGA level.

The value obtained for the size of the total moment is 5.7 μB/f.u. The total energy comes out at -0.43816 Ry per atom. The calculation puts the density of states at the Fermi level at 37.4 states/eV per cell. For the energy of formation from the pure elements, the calculation gives 0.15 eV/atom.

It has space group F-43m (No. 216), with a = 7.114 Å, b = 7.114 Å, c = 7.114 Å, α = 90.00°, β = 90.00° and γ = 90.00°. The asymmetric unit holds Pu at (0.000, 0.000, 0.000), Th at (0.250, 0.250, 0.250) and Be at (0.128, 0.128, 0.628).

***

# 12
Below is crystalline SrCo2Te at its relaxed geometry, with properties calculated at the PBE-GGA level.

The value obtained for the size of the total moment is 2.1 μB/f.u. The total energy comes out at -0.36436 Ry per atom. Its formation energy from raw total energies is -0.199 eV per atom. The calculation puts the density of states at the Fermi level at 13.8 states/eV per cell.

It has space group R3m (No. 160, hexagonal axes), with a = 4.1692 Å, b = 4.1692 Å, c = 17.2861 Å, α = 90.00°, β = 90.00° and γ = 120.00°. The asymmetric unit holds Sr at (0.0000, 0.0000, 0.0000), Co at (0.0000, 0.0000, 0.4642), Co at (0.0000, 0.0000, 0.7944) and Te at (0.0000, 0.0000, 0.1933).